[1]
The following is a PBE calculation of BaTiO3 after structural relaxation, from Alexandria.

Lattice parameters (Å, degrees): 3.8155 3.8155 13.8436 90.00 90.00 120.00
Atoms (fractional coordinates):
Ba (0.3333, 0.6667, 0.2500)
Ba (0.6667, 0.3333, 0.7500)
Ti (0.0000, 0.0000, 0.0000)
Ti (0.0000, 0.0000, 0.5000)
O (0.0000, 0.0000, 0.2500)
O (0.0000, 0.0000, 0.7500)
O (0.3333, 0.6667, 0.0466)
O (0.3333, 0.6667, 0.4534)
O (0.6667, 0.3333, 0.5466)
O (0.6667, 0.3333, 0.9534)

Output
- Symmetry: No. 194

[2]
The following is a PBE calculation of BaTiTl2O4 after structural relaxation, from Alexandria.

Lattice parameters (Å, degrees): 7.7415 8.6103 5.7554 90.00 90.00 90.00
Atoms (fractional coordinates):
Ba (0.0000, 0.1043, 0.0000)
Ba (0.5000, 0.8957, 0.5000)
Ti (0.0000, 0.8652, 0.4908)
Ti (0.5000, 0.1348, 0.9908)
Tl (0.2467, 0.3198, 0.5016)
Tl (0.2533, 0.6802, 0.0016)
Tl (0.7467, 0.6802, 0.0016)
Tl (0.7533, 0.3198, 0.5016)
O (0.0000, 0.0791, 0.5187)
O (0.0000, 0.8267, 0.1718)
O (0.1968, 0.7914, 0.6261)
O (0.3032, 0.2086, 0.1261)
O (0.5000, 0.1733, 0.6718)
O (0.5000, 0.9209, 0.0187)
O (0.6968, 0.2086, 0.1261)
O (0.8032, 0.7914, 0.6261)

Output
- Symmetry: No. 31

[3]
The following is a PBE calculation of Ba4Ti3TlO12 after structural relaxation, from Alexandria.

Lattice parameters (Å, degrees): 7.1581 7.1581 7.1581 109.47 109.47 109.47
Atoms (fractional coordinates):
Ba (0.0000, 0.0000, 0.5000)
Ba (0.0000, 0.5000, 0.0000)
Ba (0.5000, 0.0000, 0.0000)
Ba (0.5000, 0.5000, 0.5000)
Ti (0.0000, 0.5000, 0.5000)
Ti (0.5000, 0.0000, 0.5000)
Ti (0.5000, 0.5000, 0.0000)
Tl (0.0000, 0.0000, 0.0000)
O (0.0000, 0.2695, 0.2695)
O (0.0000, 0.7305, 0.7305)
O (0.2500, 0.5000, 0.7500)
O (0.2500, 0.7500, 0.5000)
O (0.2695, 0.0000, 0.2695)
O (0.2695, 0.2695, 0.0000)
O (0.5000, 0.2500, 0.7500)
O (0.5000, 0.7500, 0.2500)
O (0.7305, 0.0000, 0.7305)
O (0.7305, 0.7305, 0.0000)
O (0.7500, 0.2500, 0.5000)
O (0.7500, 0.5000, 0.2500)

Output
- Symmetry: No. 229

[4]
The following is a PBE calculation of BaTiTlO4 after structural relaxation, from Alexandria.

Lattice parameters (Å, degrees): 6.0609 6.2579 7.4211 90.00 113.63 90.00
Atoms (fractional coordinates):
Ba (0.2473, 0.2500, 0.4610)
Ba (0.7527, 0.7500, 0.5390)
Ti (0.0344, 0.2500, 0.8367)
Ti (0.9656, 0.7500, 0.1633)
Tl (0.3717, 0.7500, 0.9386)
Tl (0.6283, 0.2500, 0.0614)
O (0.1241, 0.0187, 0.7246)
O (0.1241, 0.4813, 0.7246)
O (0.2335, 0.2500, 0.0939)
O (0.2968, 0.7500, 0.2402)
O (0.7032, 0.2500, 0.7598)
O (0.7665, 0.7500, 0.9061)
O (0.8759, 0.5187, 0.2754)
O (0.8759, 0.9813, 0.2754)

Output
- Symmetry: No. 11

[5]
The following is a PBE calculation of Ba2Ti2TlO7 after structural relaxation, from Alexandria.

Lattice parameters (Å, degrees): 3.8161 3.8161 13.2878 90.00 90.00 90.00
Atoms (fractional coordinates):
Ba (0.0000, 0.0000, 0.2022)
Ba (0.0000, 0.0000, 0.7978)
Ti (0.5000, 0.5000, 0.3793)
Ti (0.5000, 0.5000, 0.6207)
Tl (0.5000, 0.5000, 0.0000)
O (0.0000, 0.0000, 0.0000)
O (0.0000, 0.5000, 0.3601)
O (0.0000, 0.5000, 0.6399)
O (0.5000, 0.0000, 0.3601)
O (0.5000, 0.0000, 0.6399)
O (0.5000, 0.5000, 0.1613)
O (0.5000, 0.5000, 0.8387)

Output
- Symmetry: No. 123

[6]
The following is a PBE calculation of Ba2TiTlO6 after structural relaxation, from Alexandria.

Lattice parameters (Å, degrees): 4.1896 4.1896 8.5721 90.00 90.00 90.00
Atoms (fractional coordinates):
Ba (0.0000, 0.0000, 0.2403)
Ba (0.0000, 0.0000, 0.7597)
Ti (0.5000, 0.5000, 0.0000)
Tl (0.5000, 0.5000, 0.5000)
O (0.0000, 0.5000, 0.0000)
O (0.0000, 0.5000, 0.5000)
O (0.5000, 0.0000, 0.0000)
O (0.5000, 0.0000, 0.5000)
O (0.5000, 0.5000, 0.2219)
O (0.5000, 0.5000, 0.7781)

Output
- Symmetry: No. 123

[7]
The following is a PBE calculation of Ba2YTi2TlO7 after structural relaxation, from Alexandria.

Lattice parameters (Å, degrees): 3.9562 3.9562 13.2311 90.00 90.00 90.00
Atoms (fractional coordinates):
Ba (0.0000, 0.0000, 0.1924)
Ba (0.0000, 0.0000, 0.8076)
Y (0.0000, 0.0000, 0.5000)
Ti (0.5000, 0.5000, 0.3670)
Ti (0.5000, 0.5000, 0.6330)
Tl (0.5000, 0.5000, 0.0000)
O (0.0000, 0.0000, 0.0000)
O (0.0000, 0.5000, 0.3894)
O (0.0000, 0.5000, 0.6106)
O (0.5000, 0.0000, 0.3894)
O (0.5000, 0.0000, 0.6106)
O (0.5000, 0.5000, 0.2241)
O (0.5000, 0.5000, 0.7759)

Output
- Symmetry: No. 123

[8]
The following is a PBE calculation of Ba3TmTi2O9 after structural relaxation, from Alexandria.

Lattice parameters (Å, degrees): 5.8678 5.8678 7.2223 90.00 90.00 120.00
Atoms (fractional coordinates):
Ba (0.0000, 0.0000, 0.0000)
Ba (0.3333, 0.6667, 0.6784)
Ba (0.6667, 0.3333, 0.3216)
Tm (0.0000, 0.0000, 0.5000)
Ti (0.3333, 0.6667, 0.1728)
Ti (0.6667, 0.3333, 0.8272)
O (0.0000, 0.5000, 0.0000)
O (0.1756, 0.3512, 0.3190)
O (0.1756, 0.8244, 0.3190)
O (0.3512, 0.1756, 0.6810)
O (0.5000, 0.0000, 0.0000)
O (0.5000, 0.5000, 0.0000)
O (0.6488, 0.8244, 0.3190)
O (0.8244, 0.1756, 0.6810)
O (0.8244, 0.6488, 0.6810)

Output
- Symmetry: No. 164

[9]
The following is a PBE calculation of Ba3TmTi2O8 after structural relaxation, from Alexandria.

Lattice parameters (Å, degrees): 6.0037 6.0037 7.6660 90.00 90.00 120.00
Atoms (fractional coordinates):
Ba (0.0000, 0.0000, 0.0000)
Ba (0.3333, 0.6667, 0.6573)
Ba (0.6667, 0.3333, 0.3427)
Tm (0.0000, 0.0000, 0.5000)
Ti (0.3333, 0.6667, 0.2154)
Ti (0.6667, 0.3333, 0.7846)
O (0.1691, 0.3381, 0.3197)
O (0.1691, 0.8309, 0.3197)
O (0.3333, 0.6667, 0.9817)
O (0.3381, 0.1691, 0.6803)
O (0.6619, 0.8309, 0.3197)
O (0.6667, 0.3333, 0.0183)
O (0.8309, 0.1691, 0.6803)
O (0.8309, 0.6619, 0.6803)

Output
- Symmetry: No. 164

[10]
The following is a PBE calculation of Ba4TmTi3O12 after structural relaxation, from Alexandria.

Lattice parameters (Å, degrees): 7.1420 7.1420 7.1420 109.47 109.47 109.47
Atoms (fractional coordinates):
Ba (0.0000, 0.0000, 0.5000)
Ba (0.0000, 0.5000, 0.0000)
Ba (0.5000, 0.0000, 0.0000)
Ba (0.5000, 0.5000, 0.5000)
Tm (0.0000, 0.0000, 0.0000)
Ti (0.0000, 0.5000, 0.5000)
Ti (0.5000, 0.0000, 0.5000)
Ti (0.5000, 0.5000, 0.0000)
O (0.0000, 0.2665, 0.2665)
O (0.0000, 0.7335, 0.7335)
O (0.2500, 0.5000, 0.7500)
O (0.2500, 0.7500, 0.5000)
O (0.2665, 0.0000, 0.2665)
O (0.2665, 0.2665, 0.0000)
O (0.5000, 0.2500, 0.7500)
O (0.5000, 0.7500, 0.2500)
O (0.7335, 0.0000, 0.7335)
O (0.7335, 0.7335, 0.0000)
O (0.7500, 0.2500, 0.5000)
O (0.7500, 0.5000, 0.2500)

Output
- Symmetry: No. 229

[11]
The following is a PBE calculation of Ba3UTi2O9 after structural relaxation, from Alexandria.

Lattice parameters (Å, degrees): 5.8749 5.8749 7.2408 90.00 90.00 120.00
Atoms (fractional coordinates):
Ba (0.0000, 0.0000, 0.0000)
Ba (0.3333, 0.6667, 0.6762)
Ba (0.6667, 0.3333, 0.3238)
U (0.0000, 0.0000, 0.5000)
Ti (0.3333, 0.6667, 0.1505)
Ti (0.6667, 0.3333, 0.8495)
O (0.0000, 0.5000, 0.0000)
O (0.1719, 0.3438, 0.3241)
O (0.1719, 0.8281, 0.3241)
O (0.3438, 0.1719, 0.6759)
O (0.5000, 0.0000, 0.0000)
O (0.5000, 0.5000, 0.0000)
O (0.6562, 0.8281, 0.3241)
O (0.8281, 0.1719, 0.6759)
O (0.8281, 0.6562, 0.6759)

Output
- Symmetry: No. 164

[12]
The following is a PBE calculation of BaUTiO6 after structural relaxation, from Alexandria.

Lattice parameters (Å, degrees): 5.5121 5.5121 5.7136 90.00 90.00 120.00
Atoms (fractional coordinates):
Ba (0.0000, 0.0000, 0.0000)
U (0.6667, 0.3333, 0.5000)
Ti (0.3333, 0.6667, 0.5000)
O (0.0130, 0.3910, 0.6931)
O (0.0130, 0.6221, 0.3069)
O (0.3779, 0.3910, 0.3069)
O (0.3779, 0.9870, 0.6931)
O (0.6090, 0.6221, 0.6931)
O (0.6090, 0.9870, 0.3069)

Output
- Symmetry: No. 149

How do the records compare in formation energy (no corrections)? In the order shown, they have -8.35, -16.81, -52.30, -15.69, -26.18, -21.51, -34.26, -45.03, -42.06, -60.14, -46.29, -28.28 eV/f.u..